Entry 1:
Entry from Alexandria via LeMat-Bulk: Pr2SO5 after structural relaxation (PBE).

The formation energy (no corrections) comes out at -2.224 eV/atom.

The structure belongs to space group I4mm (No. 107); the cell edges are 5.455, 5.455 and 6.960 Å and the angles 90.00°, 90.00° and 90.00°. The asymmetric unit holds Pr at (0.000, 0.500, 0.000), S at (0.000, 0.000, 0.253), O at (0.000, 0.000, 0.024) and O at (0.238, 0.238, 0.247).



Entry 2:
Entry from Alexandria via LeMat-Bulk: LiAs4Pd6 after structural relaxation (PBE).

Its formation energy is -0.4128 eV per atom.

The structure belongs to space group P-6m2 (No. 187); the cell edges are 7.5407, 7.5407 and 3.7338 Å and the angles 90.00°, 90.00° and 120.00°. The asymmetric unit holds Li at (0.0000, 0.0000, 0.0000), As at (0.3333, 0.6667, 0.0000), As at (0.3591, 0.1795, 0.5000), Pd at (0.1954, 0.3908, 0.5000) and Pd at (0.5370, 0.0740, 0.0000).



Entry 3:
Entry from Alexandria via LeMat-Bulk: LaScRe after structural relaxation (PBE).

Its formation energy is 0.3189 eV per atom.

The structure belongs to space group P3m1 (No. 156); the cell edges are 4.7580, 4.7580 and 3.3408 Å and the angles 90.00°, 90.00° and 120.00°. The asymmetric unit holds La at (0.0000, 0.0000, 0.0000), Sc at (0.3333, 0.6667, 0.5417) and Re at (0.6667, 0.3333, 0.2439).